CaTcBiIr2 after structural relaxation. Source: Alexandria via LeMat-Bulk, functional PBE-GGA.

Unit cell a=4.8162 b=5.4238 c=4.8162 alpha=90.00 beta=90.00 gamma=90.00
Fractional coordinates of all 5 atoms:
Tc 0.5000 0.5000 0.5000
Ca 0.0000 0.0000 0.0000
Bi 0.0000 0.5000 0.0000
Ir 0.0000 0.0000 0.5000
Ir 0.5000 0.0000 0.0000

Computed properties:
calculated total energy = -4.390 eV/atom
ρ = 9.655 g cm⁻³
formation energy = 55.44 kcal/mol of atoms